# Fe2RePd

Fe2RePd after structural relaxation (PBE-GGA, the Open Quantum Materials Database).

Cell and atoms, written as extended XYZ:
```
8
Lattice="4.2175 0.0000 0.0000 0.0000 4.7061 2.6659 0.0000 -4.7061 2.6659" Properties=species:S:1:pos:R:3 pbc="T T T"
Fe 1.0544 -4.0104 2.6659
Fe 1.0544 -1.4967 4.1262
Fe 3.1631 4.0104 2.6659
Fe 3.1631 1.4967 4.1262
Re 1.0544 0.7555 2.8471
Re 3.1631 -0.7555 2.8471
Pd 1.0544 -1.5951 1.4010
Pd 3.1631 1.5951 1.4010
```

* SG: Ama2, No. 40
* formation enthalpy at 0 K: 0.11 eV/atom

---

# NaReTcB

NaReTcB after structural relaxation (PBE-GGA, the Open Quantum Materials Database).

Cell and atoms, written as extended XYZ:
```
4
Lattice="0.0000 2.9718 2.9718 2.9718 0.0000 2.9718 2.9718 2.9718 0.0000" Properties=species:S:1:pos:R:3 pbc="T T T"
Na 0.0000 0.0000 0.0000
Re 1.4859 1.4859 1.4859
Tc 2.9718 2.9718 2.9718
B 4.4577 4.4577 4.4577
```

* SG: F-43m, No. 216
* distance to the lowest polymorph of the same formula: 46 meV per atom

---

# HoCuNiGe2

HoCuNiGe2 after structural relaxation (PBE-GGA, the Open Quantum Materials Database).

Cell and atoms, written as extended XYZ:
```
5
Lattice="-2.0227 2.0227 5.0143 2.0227 -2.0227 5.0143 2.0227 2.0227 -5.0143" Properties=species:S:1:pos:R:3 pbc="T T T"
Ho 0.0000 0.0000 0.0000
Cu 2.0227 0.0000 2.5072
Ni 0.0000 2.0227 2.5072
Ge 0.0000 0.0000 3.7755
Ge 0.0000 0.0000 6.2531
```

* SG: I-4m2, No. 119
* energy: -0.191 hartree per atom

---

# Li2Si2IrPd

Li2Si2IrPd after structural relaxation (PBE-GGA, the Open Quantum Materials Database).

Cell and atoms, written as extended XYZ:
```
6
Lattice="4.2272 0.0000 0.0000 -2.1136 3.6609 0.0000 0.0000 0.0000 5.1882" Properties=species:S:1:pos:R:3 pbc="T T T"
Li 0.0000 0.0000 1.2913
Li 0.0000 0.0000 3.8969
Si 0.0000 2.4406 0.0000
Si 2.1136 1.2203 2.5941
Ir 2.1136 1.2203 0.0000
Pd 0.0000 2.4406 2.5941
```

* SG: P-6m2, No. 187
* energy: -0.196 hartree per atom

---

# Er3Si4Ir

Er3Si4Ir after structural relaxation (PBE-GGA, the Open Quantum Materials Database).

Cell and atoms, written as extended XYZ:
```
8
Lattice="5.6147 0.0000 0.0000 0.0000 3.8737 0.0000 -0.8716 0.0000 7.0963" Properties=species:S:1:pos:R:3 pbc="T T T"
Er 0.0000 0.0000 0.0000
Er 0.6739 0.0000 3.3866
Er 2.0386 1.9369 5.9899
Si 1.4532 1.9369 1.4376
Si 2.9574 0.0000 1.1931
Si 3.4347 0.0000 4.3060
Si 4.8735 1.9369 4.9579
Ir 3.5407 1.9369 2.7682
```

* SG: Pm, No. 6
* energy: -0.228 hartree per atom

---

# LuPtNO

LuPtNO after structural relaxation (PBE-GGA, the Open Quantum Materials Database).

Cell and atoms, written as extended XYZ:
```
8
Lattice="4.7500 0.0000 0.0000 0.0000 4.7500 0.0000 0.0000 0.0000 4.3837" Properties=species:S:1:pos:R:3 pbc="T T T"
Lu 1.1875 3.5625 0.0000
Lu 3.5625 1.1875 0.0000
Pt 1.1875 1.1875 2.1851
Pt 3.5625 3.5625 2.1986
N 1.1875 1.1875 4.3787
N 3.5625 3.5625 0.0050
O 1.1875 3.5625 2.1918
O 3.5625 1.1875 2.1918
```

* SG: P4/nmm, No. 129
* distance to the lowest polymorph of the same formula: 347 meV per atom

---

# TbHgTe

TbHgTe after structural relaxation (PBE-GGA, the Open Quantum Materials Database).

Cell and atoms, written as extended XYZ:
```
3
Lattice="0.0000 3.6564 3.6564 3.6564 0.0000 3.6564 3.6564 3.6564 0.0000" Properties=species:S:1:pos:R:3 pbc="T T T"
Tb 0.0000 0.0000 0.0000
Hg 3.6564 3.6564 3.6564
Te 5.4847 5.4847 5.4847
```

* SG: F-43m, No. 216
* energy: -0.114 hartree per atom

---

# Li4ZnFe2Ge

Li4ZnFe2Ge after structural relaxation (PBE-GGA, the Open Quantum Materials Database).

Cell and atoms, written as extended XYZ:
```
8
Lattice="4.2224 0.0000 0.0000 0.0000 4.2224 0.0000 0.0000 0.0000 5.8280" Properties=species:S:1:pos:R:3 pbc="T T T"
Li 0.0000 0.0000 0.0000
Li 0.0000 2.1112 1.4359
Li 2.1112 0.0000 4.3921
Li 2.1112 2.1112 2.9140
Zn 2.1112 2.1112 0.0000
Fe 0.0000 2.1112 4.3136
Fe 2.1112 0.0000 1.5144
Ge 0.0000 0.0000 2.9140
```

* SG: P-4m2, No. 115
* energy: -0.138 hartree per atom

---

# NaScCdS3

NaScCdS3 after structural relaxation (PBE-GGA, the Open Quantum Materials Database).

Cell and atoms, written as extended XYZ:
```
12
Lattice="7.6386 0.0000 0.0000 0.0000 3.9041 0.0000 -3.6474 0.0000 10.0921" Properties=species:S:1:pos:R:3 pbc="T T T"
Na -0.9120 0.9760 3.5569
Na 4.9031 2.9281 6.5352
Sc 1.1859 2.9281 6.4086
Sc 2.8053 0.9760 3.6835
Cd 0.0612 0.9760 8.9122
Cd 3.9300 2.9281 1.1799
S -0.6560 0.9760 6.5094
S 1.1122 2.9281 3.8604
S 2.2695 0.9760 1.0146
S 1.7217 2.9281 9.0775
S 2.8790 0.9760 6.2317
S 4.6472 2.9281 3.5828
```

* SG: P2_1/m, No. 11
* distance to the lowest polymorph of the same formula: 0 meV per atom

---

# LiDyInAu

LiDyInAu after structural relaxation (PBE-GGA, the Open Quantum Materials Database).

Cell and atoms, written as extended XYZ:
```
4
Lattice="0.0000 3.4259 3.4259 3.4259 0.0000 3.4259 3.4259 3.4259 0.0000" Properties=species:S:1:pos:R:3 pbc="T T T"
Li 0.0000 0.0000 0.0000
Dy 1.7130 1.7130 1.7130
In 5.1389 5.1389 5.1389
Au 3.4259 3.4259 3.4259
```

* SG: F-43m, No. 216
* energy: -0.138 hartree per atom

---

# TaBeCuSb

TaBeCuSb after structural relaxation (PBE-GGA, the Open Quantum Materials Database).

Cell and atoms, written as extended XYZ:
```
4
Lattice="0.0000 3.1865 3.1865 3.1865 0.0000 3.1865 3.1865 3.1865 0.0000" Properties=species:S:1:pos:R:3 pbc="T T T"
Ta 0.0000 0.0000 0.0000
Be 4.7797 4.7797 4.7797
Cu 3.1865 3.1865 3.1865
Sb 1.5932 1.5932 1.5932
```

* SG: F-43m, No. 216
* distance to the lowest polymorph of the same formula: 0 meV per atom

---

# CuPdW

CuPdW after structural relaxation (PBE-GGA, the Open Quantum Materials Database).

Cell and atoms, written as extended XYZ:
```
3
Lattice="0.0000 2.9371 2.9371 2.9371 0.0000 2.9371 2.9371 2.9371 0.0000" Properties=species:S:1:pos:R:3 pbc="T T T"
Cu 0.0000 0.0000 0.0000
Pd 1.4686 1.4686 1.4686
W 2.9371 2.9371 2.9371
```

* SG: F-43m, No. 216
* distance to the lowest polymorph of the same formula: 0 meV per atom
* formation enthalpy at 0 K: 0.73 eV/atom

---

Number 1: calculated density 12.7 g/cm3, size of the total moment 0.985 μB/atom, V 106 Å³/cell. Number 2: calculated density 10.1 g/cm3, size of the total moment 0.000 μB/atom, V 52 Å³/cell. Number 3: calculated density 8.8 g/cm3, size of the total moment 0.002 μB/atom, V 82 Å³/cell. Number 4: calculated density 7.6 g/cm3, size of the total moment 0.001 μB/atom, V 80 Å³/cell. Number 5: calculated density 8.7 g/cm3, size of the total moment 0.004 μB/atom, V 154 Å³/cell. Number 6: calculated density 13.4 g/cm3, size of the total moment 0.001 μB/atom, V 99 Å³/cell. Number 7: calculated density 8.3 g/cm3, size of the total moment 0.004 μB/atom, V 98 Å³/cell. Number 8: calculated density 4.4 g/cm3, size of the total moment 0.607 μB/atom, V 104 Å³/cell. Number 9: calculated density 3.1 g/cm3, size of the total moment 0.000 μB/atom, V 301 Å³/cell. Number 10: calculated density 9.9 g/cm3, size of the total moment 0.000 μB/atom, V 80 Å³/cell. Number 11: calculated density 9.6 g/cm3, size of the total moment 0.003 μB/atom, V 65 Å³/cell. Number 12: calculated density 11.6 g/cm3, size of the total moment 0.016 μB/atom, V 51 Å³/cell.